TaAlCr2 | GGA-PBE | optimized geometry

Lattice parameters (Å, degrees): 2.917 2.917 6.650 90.00 90.00 90.00
Space group P4mm (No. 99)
Inequivalent atoms, fractional coordinates:
Ta1 0.000 0.000 0.000 (multiplicity 1)
Al1 0.500 0.500 0.302 (multiplicity 1)
Cr1 0.000 0.000 0.543 (multiplicity 1)
Cr2 0.500 0.500 0.719 (multiplicity 1)

Values from the calculation:
Total energy   -8.7627 eV/atom
E_form   -0.21 eV/f.u.